(1)
The following is a PBE calculation of a geometry-optimized LaPmTm structure, from the Alexandria database.

Cell: 3.6502 3.6502 15.2817 Å, 90.00 90.00 90.00°
Space group I4mm (No. 107)
Inequivalent atoms, fractional coordinates:
1 La 0.0000 0.0000 0.0000 (multiplicity 2)
2 Pm 0.0000 0.0000 0.6723 (multiplicity 2)
3 Tm 0.0000 0.0000 0.3335 (multiplicity 2)

- ΔE_f (eV/atom) = 0.033
- energy above the lowest structure with this stoichiometry (eV/atom) = 0.000
- raw total energy (eV per atom) = -4.68

=====

(2)
The following is a PBE calculation of a geometry-optimized La3Pm4Tm2 structure, from the Alexandria database.

Cell: 16.1182 11.8060 6.5128 Å, 90.00 96.14 90.00°
Space group C2/c (No. 15)
Inequivalent atoms, fractional coordinates:
1 La 0.0000 0.0389 0.2500 (multiplicity 4)
2 La 0.0596 0.2469 0.9731 (multiplicity 8)
3 Pm 0.1027 0.4175 0.4149 (multiplicity 8)
4 Pm 0.2451 0.3805 0.8939 (multiplicity 8)
5 Tm 0.1723 0.1445 0.5788 (multiplicity 8)

- ΔE_f (eV/atom) = 0.119
- energy above the lowest structure with this stoichiometry (eV/atom) = 0.017
- raw total energy (eV per atom) = -4.63

=====

(3)
The following is a PBE calculation of a geometry-optimized La4PmTm structure, from the Alexandria database.

Cell: 11.3927 6.1204 6.1114 Å, 90.00 90.02 90.00°
Space group C2/m (No. 12)
Inequivalent atoms, fractional coordinates:
1 La 0.1570 0.0000 0.0009 (multiplicity 4)
2 La 0.1578 0.5000 0.4993 (multiplicity 4)
3 Pm 0.0000 0.5000 0.0000 (multiplicity 2)
4 Tm 0.0000 0.0000 0.5000 (multiplicity 2)

- ΔE_f (eV/atom) = 0.097
- energy above the lowest structure with this stoichiometry (eV/atom) = 0.044
- raw total energy (eV per atom) = -4.73

=====

(4)
The following is a PBE calculation of a geometry-optimized La15PmTm4 structure, from the Alexandria database.

Cell: 5.1984 5.1984 26.0116 Å, 90.00 90.00 90.00°
Space group P4/mmm (No. 123)
Inequivalent atoms, fractional coordinates:
1 La 0.0000 0.0000 0.0000 (multiplicity 1)
2 La 0.0000 0.0000 0.2009 (multiplicity 2)
3 La 0.0000 0.0000 0.4002 (multiplicity 2)
4 La 0.0000 0.5000 0.1013 (multiplicity 4)
5 La 0.0000 0.5000 0.3007 (multiplicity 4)
6 La 0.0000 0.5000 0.5000 (multiplicity 2)
7 Pm 0.5000 0.5000 0.0000 (multiplicity 1)
8 Tm 0.5000 0.5000 0.2011 (multiplicity 2)
9 Tm 0.5000 0.5000 0.4002 (multiplicity 2)

- ΔE_f (eV/atom) = 0.007
- raw total energy (eV per atom) = -4.82

=====

(5)
The following is a PBE calculation of a geometry-optimized La5PmTm2 structure, from the Alexandria database.

Cell: 17.0029 10.1185 6.7266 Å, 90.00 100.78 90.00°
Space group C2/c (No. 15)
Inequivalent atoms, fractional coordinates:
1 La 0.0000 0.0583 0.2500 (multiplicity 4)
2 La 0.0924 0.4041 0.1430 (multiplicity 8)
3 La 0.2044 0.0875 0.0256 (multiplicity 8)
4 Pm 0.2500 0.2500 0.5000 (multiplicity 4)
5 Tm 0.0808 0.2550 0.6437 (multiplicity 8)

- ΔE_f (eV/atom) = 0.128
- energy above the lowest structure with this stoichiometry (eV/atom) = 0.092
- raw total energy (eV per atom) = -4.66

=====

(6)
The following is a PBE calculation of a geometry-optimized LaPm6Tm2 structure, from the Alexandria database.

Cell: 7.5433 7.5433 6.1591 Å, 90.00 90.00 120.00°
Space group P-3m1 (No. 164)
Inequivalent atoms, fractional coordinates:
1 La 0.0000 0.0000 0.0000 (multiplicity 1)
2 Pm 0.1871 0.3741 0.7105 (multiplicity 6)
3 Tm 0.3333 0.6667 0.2198 (multiplicity 2)

- ΔE_f (eV/atom) = 0.195
- energy above the lowest structure with this stoichiometry (eV/atom) = 0.176
- raw total energy (eV per atom) = -4.51

=====

(7)
The following is a PBE calculation of a geometry-optimized La5Pm2Tm3 structure, from the Alexandria database.

Cell: 10.9725 14.9114 10.1780 Å, 90.00 122.61 90.00°
Space group C2/c (No. 15)
Inequivalent atoms, fractional coordinates:
1 La 0.0000 0.0182 0.2500 (multiplicity 4)
2 La 0.0000 0.2262 0.2500 (multiplicity 4)
3 La 0.0000 0.4773 0.7500 (multiplicity 4)
4 La 0.2487 0.3698 0.2496 (multiplicity 8)
5 Pm 0.1556 0.1298 0.0609 (multiplicity 8)
6 Tm 0.0000 0.2703 0.7500 (multiplicity 4)
7 Tm 0.1503 0.3732 0.5574 (multiplicity 8)

- ΔE_f (eV/atom) = 0.161
- raw total energy (eV per atom) = -4.59

=====

(8)
The following is a PBE calculation of a geometry-optimized La3Pm3Tm4 structure, from the Alexandria database.

Cell: 3.6453 13.7400 13.7481 Å, 90.00 90.00 90.00°
Space group Amm2 (No. 38)
Inequivalent atoms, fractional coordinates:
1 La 0.0000 0.0000 0.0000 (multiplicity 2)
2 La 0.5000 0.2482 0.5757 (multiplicity 4)
3 Pm 0.0000 0.0000 0.6494 (multiplicity 2)
4 Pm 0.0000 0.1744 0.3252 (multiplicity 4)
5 Tm 0.5000 0.0000 0.2055 (multiplicity 2)
6 Tm 0.5000 0.0000 0.4459 (multiplicity 2)
7 Tm 0.5000 0.1213 0.8224 (multiplicity 4)

- ΔE_f (eV/atom) = 0.084
- raw total energy (eV per atom) = -4.61

=====

(9)
The following is a PBE calculation of a geometry-optimized La2Pm2Tm5 structure, from the Alexandria database.

Cell: 21.5319 3.4956 8.3561 Å, 90.00 100.58 90.00°
Space group C2/m (No. 12)
Inequivalent atoms, fractional coordinates:
1 La 0.1835 0.0000 0.1426 (multiplicity 4)
2 Pm 0.0448 0.5000 0.3552 (multiplicity 4)
3 Tm 0.0000 0.0000 0.0000 (multiplicity 2)
4 Tm 0.0998 0.0000 0.7355 (multiplicity 4)
5 Tm 0.1906 0.5000 0.5277 (multiplicity 4)

- ΔE_f (eV/atom) = 0.222
- energy above the lowest structure with this stoichiometry (eV/atom) = 0.021
- raw total energy (eV per atom) = -4.41

=====

(10)
The following is a PBE calculation of a geometry-optimized La3Pm5Tm2 structure, from the Alexandria database.

Cell: 9.6358 9.6501 9.6561 Å, 106.75 106.66 115.04°
Space group P-1 (No. 2)
Inequivalent atoms, fractional coordinates:
1 La 0.0254 0.0753 0.3487 (multiplicity 2)
2 La 0.1774 0.5279 0.4488 (multiplicity 2)
3 La 0.4234 0.2727 0.9484 (multiplicity 2)
4 Pm 0.1237 0.3737 0.7520 (multiplicity 2)
5 Pm 0.2242 0.6759 0.1503 (multiplicity 2)
6 Pm 0.2739 0.8253 0.8497 (multiplicity 2)
7 Pm 0.3713 0.1206 0.2488 (multiplicity 2)
8 Pm 0.4779 0.4248 0.6511 (multiplicity 2)
9 Tm 0.0740 0.2234 0.0493 (multiplicity 2)
10 Tm 0.3293 0.9756 0.5482 (multiplicity 2)

- ΔE_f (eV/atom) = 0.024
- raw total energy (eV per atom) = -4.72

=====

(11)
The following is a PBE calculation of a geometry-optimized La7Pm2Tm2 structure, from the Alexandria database.

Cell: 10.9219 8.9584 8.3798 Å, 90.00 105.36 90.00°
Space group C2/m (No. 12)
Inequivalent atoms, fractional coordinates:
1 La 0.0000 0.0000 0.0000 (multiplicity 2)
2 La 0.0479 0.5000 0.8055 (multiplicity 4)
3 La 0.2141 0.2984 0.1807 (multiplicity 8)
4 Pm 0.2303 0.5000 0.5456 (multiplicity 4)
5 Tm 0.0000 0.2020 0.5000 (multiplicity 4)

- ΔE_f (eV/atom) = 0.152
- energy above the lowest structure with this stoichiometry (eV/atom) = 0.038
- raw total energy (eV per atom) = -4.66

=====

(12)
The following is a PBE calculation of a geometry-optimized LaPmTm6 structure, from the Alexandria database.

Cell: 8.6172 8.6172 13.0835 Å, 90.00 90.00 120.00°
Space group R-3m (No. 166, hexagonal axes)
Inequivalent atoms, fractional coordinates:
1 La 0.0000 0.0000 0.0000 (multiplicity 3)
2 Pm 0.0000 0.0000 0.5000 (multiplicity 3)
3 Tm 0.0906 0.5453 0.3911 (multiplicity 18)

- ΔE_f (eV/atom) = 0.570
- energy above the lowest structure with this stoichiometry (eV/atom) = 0.449
- raw total energy (eV per atom) = -3.99

=====

(13)
The following is a PBE calculation of a geometry-optimized La2Pm3Tm3 structure, from the Alexandria database.

Cell: 5.1072 5.1383 20.3560 Å, 90.00 90.00 90.00°
Space group Immm (No. 71)
Inequivalent atoms, fractional coordinates:
1 La 0.0000 0.0000 0.2503 (multiplicity 4)
2 Pm 0.0000 0.0000 0.0000 (multiplicity 2)
3 Pm 0.0000 0.5000 0.1217 (multiplicity 4)
4 Tm 0.0000 0.0000 0.5000 (multiplicity 2)
5 Tm 0.0000 0.5000 0.3779 (multiplicity 4)

- ΔE_f (eV/atom) = 0.025
- energy above the lowest structure with this stoichiometry (eV/atom) = 0.000
- raw total energy (eV per atom) = -4.67

=====

(14)
The following is a PBE calculation of a geometry-optimized La5Pm4Tm2 structure, from the Alexandria database.

Cell: 24.5204 3.6213 9.3033 Å, 90.00 107.54 90.00°
Space group C2/m (No. 12)
Inequivalent atoms, fractional coordinates:
1 La 0.0000 0.0000 0.0000 (multiplicity 2)
2 La 0.1256 0.5000 0.9655 (multiplicity 4)
3 La 0.1721 0.5000 0.4100 (multiplicity 4)
4 Pm 0.0170 0.5000 0.3266 (multiplicity 4)
5 Pm 0.2327 0.0000 0.8141 (multiplicity 4)
6 Tm 0.0968 0.0000 0.6263 (multiplicity 4)

- ΔE_f (eV/atom) = 0.148
- energy above the lowest structure with this stoichiometry (eV/atom) = 0.129
- raw total energy (eV per atom) = -4.63

=====

(15)
The following is a PBE calculation of a geometry-optimized La2Pm3Tm6 structure, from the Alexandria database.

Cell: 6.1346 10.6393 11.7237 Å, 90.00 100.08 90.00°
Space group C2/m (No. 12)
Inequivalent atoms, fractional coordinates:
1 La 0.0000 0.1670 0.0000 (multiplicity 4)
2 Pm 0.0000 0.0000 0.5000 (multiplicity 2)
3 Pm 0.0000 0.3355 0.5000 (multiplicity 4)
4 Tm 0.2483 0.5000 0.7468 (multiplicity 4)
5 Tm 0.2493 0.1664 0.7472 (multiplicity 8)

- ΔE_f (eV/atom) = 0.186
- energy above the lowest structure with this stoichiometry (eV/atom) = 0.000
- raw total energy (eV per atom) = -4.44

=====

(16)
The following is a PBE calculation of a geometry-optimized La3Pm4Tm structure, from the Alexandria database.

Cell: 11.8435 7.4168 6.4101 Å, 90.00 90.00 90.00°
Space group Pmn2_1 (No. 31)
Inequivalent atoms, fractional coordinates:
1 La 0.0000 0.1268 0.0000 (multiplicity 2)
2 La 0.2501 0.1232 0.6690 (multiplicity 4)
3 Pm 0.0000 0.3761 0.4989 (multiplicity 2)
4 Pm 0.0000 0.6246 0.0018 (multiplicity 2)
5 Pm 0.2466 0.6253 0.6667 (multiplicity 4)
6 Tm 0.0000 0.8724 0.5028 (multiplicity 2)

- ΔE_f (eV/atom) = 0.035
- energy above the lowest structure with this stoichiometry (eV/atom) = 0.000
- raw total energy (eV per atom) = -4.75

=====

(17)
The following is a PBE calculation of a geometry-optimized La5PmTm2 structure, from the Alexandria database.

Cell: 3.6464 11.3793 13.4823 Å, 90.00 90.00 90.00°
Space group Immm (No. 71)
Inequivalent atoms, fractional coordinates:
1 La 0.0000 0.0000 0.0000 (multiplicity 2)
2 La 0.0000 0.2702 0.3688 (multiplicity 8)
3 Pm 0.0000 0.5000 0.0000 (multiplicity 2)
4 Tm 0.0000 0.0000 0.2591 (multiplicity 4)

- ΔE_f (eV/atom) = 0.037
- energy above the lowest structure with this stoichiometry (eV/atom) = 0.000
- raw total energy (eV per atom) = -4.75

=====

(18)
The following is a PBE calculation of a geometry-optimized La2Pm5Tm4 structure, from the Alexandria database.

Cell: 17.7847 3.5516 11.7173 Å, 90.00 94.05 90.00°
Space group C2/m (No. 12)
Inequivalent atoms, fractional coordinates:
1 La 0.2180 0.0000 0.3540 (multiplicity 4)
2 Pm 0.0000 0.0000 0.0000 (multiplicity 2)
3 Pm 0.0944 0.5000 0.5364 (multiplicity 4)
4 Pm 0.1758 0.5000 0.0676 (multiplicity 4)
5 Tm 0.0306 0.5000 0.2562 (multiplicity 4)
6 Tm 0.1386 0.0000 0.7985 (multiplicity 4)

- ΔE_f (eV/atom) = 0.067
- energy above the lowest structure with this stoichiometry (eV/atom) = 0.000
- raw total energy (eV per atom) = -4.61

=====

(19)
The following is a PBE calculation of a geometry-optimized LaPmTm structure, from the Alexandria database.

Cell: 5.7555 5.7555 3.5315 Å, 90.00 90.00 120.00°
Space group P3m1 (No. 156)
Inequivalent atoms, fractional coordinates:
1 La 0.0000 0.0000 0.0000 (multiplicity 1)
2 Pm 0.3333 0.6667 0.5010 (multiplicity 1)
3 Tm 0.6667 0.3333 0.4986 (multiplicity 1)

- ΔE_f (eV/atom) = 0.064
- energy above the lowest structure with this stoichiometry (eV/atom) = 0.031
- raw total energy (eV per atom) = -4.65

=====

(20)
The following is a PBE calculation of a geometry-optimized La3Pm4Tm2 structure, from the Alexandria database.

Cell: 11.7349 5.8409 9.2617 Å, 90.00 101.89 90.00°
Space group C2/m (No. 12)
Inequivalent atoms, fractional coordinates:
1 La 0.0000 0.0000 0.0000 (multiplicity 2)
2 La 0.1214 0.0000 0.6858 (multiplicity 4)
3 Pm 0.1790 0.5000 0.9602 (multiplicity 4)
4 Pm 0.2272 0.0000 0.3725 (multiplicity 4)
5 Tm 0.0611 0.5000 0.3066 (multiplicity 4)

- ΔE_f (eV/atom) = 0.103
- energy above the lowest structure with this stoichiometry (eV/atom) = 0.000
- raw total energy (eV per atom) = -4.64